Record 1
The following is a PBE calculation of a relaxed RbBaI2N crystal, from Alexandria via LeMat-Bulk.

Properties
E_form (uncorrected) = -0.544 eV/atom
DOS at the Fermi energy = 2.14 states/eV/f.u.
M_tot = 2.00 μB/cell
relative energy among the computed polymorphs = 0.0 kJ per mole of atoms
space group = P4/mmm, No. 123

Cell and atoms, written as extended XYZ:
```
5
Lattice="-3.653 -3.307 4.809 -4.394 -2.176 -4.834 2.925 -4.289 -0.727" Properties=species:S:1:pos:R:3 pbc="T T T"
I -1.827 -1.653 2.405
I -2.197 -1.088 -2.417
N 1.462 -2.144 -0.364
Ba 0.000 0.000 0.000
Rb -2.561 -4.886 -0.376
```



Record 2
The following is a PBE calculation of a relaxed Dy3Ir8Rh crystal, from Alexandria via LeMat-Bulk.

Properties
DOS at the Fermi energy = 15.24 states/eV/f.u.
M_tot = 0.00 μB/cell
space group = R3m, No. 160
energy of formation from the pure elements = -527 meV/atom

Cell and atoms, written as extended XYZ:
```
12
Lattice="-3.002 -4.382 0.277 -0.331 -3.266 -4.185 5.712 -7.036 1.660" Properties=species:S:1:pos:R:3 pbc="T T T"
Ir 0.574 -10.218 -2.212
Ir 1.472 -4.350 -1.804
Ir 1.638 -2.705 0.304
Ir 2.792 -10.029 -0.837
Ir 0.126 -4.913 0.443
Ir 2.956 -8.403 1.246
Ir -0.646 -2.855 -1.101
Ir 4.286 -7.847 -0.975
Dy 1.338 -7.440 -1.060
Dy -1.335 -5.682 -2.221
Dy 5.509 -6.903 1.571
Rh 2.825 -5.138 0.406
```



Record 3
The following is a PBE calculation of a relaxed Cu4S3Cl crystal, from Alexandria via LeMat-Bulk.

Properties
E_form (uncorrected) = -0.258 eV/atom
DOS at the Fermi energy = 6.46 states/eV/f.u.
M_tot = 0.00 μB/cell
space group = Pmn2_1, No. 31

Cell and atoms, written as extended XYZ:
```
16
Lattice="6.244 0.000 0.000 0.000 6.445 0.000 0.000 0.000 7.331" Properties=species:S:1:pos:R:3 pbc="T T T"
S 0.002 4.277 1.840
S 3.115 5.308 0.000
S 3.124 2.168 5.506
S 3.124 2.168 1.825
S 0.002 4.277 5.490
S 6.237 1.137 3.665
Cu 0.550 5.437 3.665
Cu 3.672 1.008 0.000
Cu 4.022 4.215 5.612
Cu 0.887 5.196 0.000
Cu 0.900 2.230 1.946
Cu 4.009 1.248 3.665
Cu 0.900 2.230 5.384
Cu 4.022 4.215 1.719
Cl 6.226 1.021 0.000
Cl 3.104 5.424 3.665
```



Record 4
The following is a PBE calculation of a relaxed PmPr3Dy2Tm6 crystal, from Alexandria via LeMat-Bulk.

Properties
DOS at the Fermi energy = 14.02 states/eV/f.u.
M_tot = 0.00 μB/cell
space group = C2/m, No. 12
energy of formation from the pure elements = 22 meV/atom

Cell and atoms, written as extended XYZ:
```
12
Lattice="-0.120 -5.793 2.184 5.381 2.562 -1.682 -0.306 5.084 10.553" Properties=species:S:1:pos:R:3 pbc="T T T"
Pr 0.645 -1.858 6.816
Pr 2.478 0.927 5.527
Pr 4.310 3.711 4.239
Dy 1.714 -3.008 0.895
Dy 3.547 -0.223 -0.394
Tm 0.318 -0.945 3.373
Tm 2.153 1.843 2.083
Tm 3.864 -1.165 2.980
Tm 4.637 2.798 7.681
Tm 2.802 0.011 8.971
Tm 1.091 3.018 8.074
Pm 0.000 0.000 0.000
```



Record 5
The following is a PBE calculation of a relaxed La2PmPu crystal, from Alexandria via LeMat-Bulk.

Properties
DOS at the Fermi energy = 12.28 states/eV/f.u.
M_tot = 6.35 μB/cell
relative energy among the computed polymorphs = 14.3 kJ per mole of atoms
space group = R-3m, No. 166
energy of formation from the pure elements = 258 meV/atom

Cell and atoms, written as extended XYZ:
```
4
Lattice="3.545 0.000 0.000 1.773 3.070 0.000 1.773 1.023 12.566" Properties=species:S:1:pos:R:3 pbc="T T T"
La 1.773 1.023 9.334
La 5.318 3.070 3.232
Pm 3.545 2.047 6.283
Pu 0.000 0.000 0.000
```



Record 6
The following is a PBE calculation of a relaxed Tc2Pt2N crystal, from Alexandria via LeMat-Bulk.

Properties
E_form (uncorrected) = 1.236 eV/atom
DOS at the Fermi energy = 4.14 states/eV/f.u.
M_tot = 0.64 μB/cell
relative energy among the computed polymorphs = 24.0 kJ per mole of atoms
space group = I4/mmm, No. 139

Cell and atoms, written as extended XYZ:
```
5
Lattice="-3.220 -0.711 1.050 0.594 -3.378 -0.464 0.830 -2.525 6.537" Properties=species:S:1:pos:R:3 pbc="T T T"
Pt -0.901 -4.475 5.612
Pt -0.895 -2.138 1.511
Tc 0.056 -3.973 3.183
Tc -1.851 -2.640 3.940
N 0.000 0.000 0.000
```



Record 7
The following is a PBE calculation of a relaxed Ba2NaSb3Au4 crystal, from Alexandria via LeMat-Bulk.

Properties
E_form (uncorrected) = -0.625 eV/atom
DOS at the Fermi energy = 2.77 states/eV/f.u.
M_tot = 0.00 μB/cell
space group = P-4m2, No. 115

Cell and atoms, written as extended XYZ:
```
10
Lattice="4.898 0.000 0.000 0.000 4.898 0.000 0.000 0.000 11.400" Properties=species:S:1:pos:R:3 pbc="T T T"
Sb 0.000 2.449 1.460
Sb 2.449 0.000 9.940
Sb 0.000 0.000 5.700
Ba 2.449 0.000 2.648
Ba 0.000 2.449 8.752
Au 2.449 0.000 7.206
Au 0.000 2.449 4.195
Au 0.000 0.000 0.000
Au 2.449 2.449 0.000
Na 2.449 2.449 5.700
```



Record 8
The following is a PBE calculation of a relaxed RbSb2Pb crystal, from Alexandria via LeMat-Bulk.

Properties
E_form (uncorrected) = 0.020 eV/atom
DOS at the Fermi energy = 3.77 states/eV/f.u.
M_tot = 0.00 μB/cell
space group = I-42d, No. 122

Cell and atoms, written as extended XYZ:
```
8
Lattice="-7.323 -0.356 -5.622 -3.830 -6.448 5.397 -7.125 -0.926 1.747" Properties=species:S:1:pos:R:3 pbc="T T T"
Pb 0.000 0.000 0.000
Pb -10.013 -2.342 -1.994
Sb -7.166 -1.276 -2.655
Sb -4.762 -4.290 3.360
Sb -9.354 -2.956 0.984
Sb -15.275 -6.938 1.355
Rb -8.266 -5.388 3.516
Rb -5.577 -3.402 -0.113
```



Record 9
The following is a PBE calculation of a relaxed LiMg2CuSe crystal, from Alexandria via LeMat-Bulk.

Properties
E_form (uncorrected) = 0.157 eV/atom
DOS at the Fermi energy = 2.21 states/eV/f.u.
M_tot = 0.00 μB/cell
space group = P4/mmm, No. 123

Cell and atoms, written as extended XYZ:
```
5
Lattice="-4.231 -1.772 2.429 -1.202 -2.367 -3.820 2.691 -4.102 1.695" Properties=species:S:1:pos:R:3 pbc="T T T"
Li -1.371 -4.120 0.152
Se 0.000 0.000 0.000
Mg -2.116 -0.886 1.214
Mg 1.345 -2.051 0.847
Cu -0.601 -1.183 -1.910
```



Record 10
The following is a PBE calculation of a relaxed SrLaMg17 crystal, from Alexandria via LeMat-Bulk.

Properties
DOS at the Fermi energy = 9.07 states/eV/f.u.
M_tot = 0.00 μB/cell
space group = R3m, No. 160
energy of formation from the pure elements = -67 meV/atom

Cell and atoms, written as extended XYZ:
```
19
Lattice="7.841 0.044 0.975 0.866 7.793 0.975 0.049 0.044 7.901" Properties=species:S:1:pos:R:3 pbc="T T T"
Mg 5.514 0.055 3.038
Mg 6.947 2.770 3.918
Mg 2.371 0.055 5.832
Mg 5.253 1.307 5.909
Mg 3.483 6.618 3.918
Mg 5.651 5.086 2.530
Mg 0.303 2.352 5.832
Mg 0.041 0.037 3.948
Mg 5.756 2.352 0.984
Mg 0.633 5.478 3.038
Mg 7.897 7.108 8.883
Mg 3.916 0.037 0.504
Mg 0.872 0.785 0.981
Mg 2.943 5.478 0.984
Mg 3.077 2.770 7.358
Mg 1.851 5.086 5.909
Mg 0.448 3.891 0.504
La 2.912 2.621 3.275
Sr 5.809 5.228 6.534
```



Record 11
The following is a PBE calculation of a relaxed PrPuAgPb crystal, from Alexandria via LeMat-Bulk.

Properties
DOS at the Fermi energy = 11.02 states/eV/f.u.
M_tot = 6.22 μB/cell
space group = F-43m, No. 216
energy of formation from the pure elements = -202 meV/atom

Cell and atoms, written as extended XYZ:
```
4
Lattice="5.427 0.000 0.000 2.713 4.700 0.000 2.713 1.567 4.431" Properties=species:S:1:pos:R:3 pbc="T T T"
Ag 2.713 1.567 1.108
Pr 5.427 3.133 2.215
Pu 0.000 0.000 0.000
Pb 8.140 4.700 3.323
```



Record 12
The following is a PBE calculation of a relaxed HgOsO3 crystal, from Alexandria via LeMat-Bulk.

Properties
E_form (uncorrected) = -0.608 eV/atom
DOS at the Fermi energy = 2.48 states/eV/f.u.
M_tot = 0.00 μB/cell
space group = Pm, No. 6

Cell and atoms, written as extended XYZ:
```
10
Lattice="-1.293 5.035 0.105 -5.610 -1.407 -1.596 3.480 0.744 7.145" Properties=species:S:1:pos:R:3 pbc="T T T"
O 2.025 1.729 6.367
O -5.321 2.675 -0.674
O -2.991 3.174 4.087
O -2.296 3.422 0.755
O -1.208 0.929 4.941
O -0.386 1.213 1.440
Os -3.401 4.315 5.649
Os -2.785 1.915 5.599
Hg 0.913 1.496 3.849
Hg -4.444 2.847 1.859
```



Record 13
The following is a PBE calculation of a relaxed Sc4Pt5 crystal, from Alexandria via LeMat-Bulk.

Properties
DOS at the Fermi energy = 4.90 states/eV/f.u.
M_tot = 0.00 μB/cell
relative energy among the computed polymorphs = 9.2 kJ per mole of atoms
space group = I4/mmm, No. 139
energy of formation from the pure elements = -1042 meV/atom

Cell and atoms, written as extended XYZ:
```
9
Lattice="0.898 0.495 6.515 -4.557 -0.559 -4.735 2.149 -6.218 -0.459" Properties=species:S:1:pos:R:3 pbc="T T T"
Pt -0.918 0.144 2.771
Pt 0.000 0.000 0.000
Pt -2.742 -0.209 -0.991
Pt 0.213 -4.161 0.287
Pt -1.723 -2.122 1.034
Sc 0.922 -1.731 1.832
Sc 2.125 -3.992 4.224
Sc -0.728 -2.050 -1.571
Sc -1.679 -4.728 -3.623
```



Record 14
The following is a PBE calculation of a relaxed Zr3Sc2Co4 crystal, from Alexandria via LeMat-Bulk.

Properties
DOS at the Fermi energy = 7.59 states/eV/f.u.
M_tot = 0.00 μB/cell
space group = P2_1/c, No. 14
energy of formation from the pure elements = -254 meV/atom

Cell and atoms, written as extended XYZ:
```
18
Lattice="-6.436 2.567 -0.346 2.009 -1.504 -6.488 -2.538 -6.273 0.668" Properties=species:S:1:pos:R:3 pbc="T T T"
Sc -2.748 -4.396 -4.918
Sc -0.624 -1.171 -1.174
Sc -4.217 -0.815 -1.248
Sc -6.341 -4.040 -4.992
Co -4.671 -5.238 -0.044
Co -0.174 -3.969 -5.661
Co -6.790 -1.241 -0.505
Co -1.988 -5.944 -2.689
Co -4.563 -3.072 -3.031
Co -2.294 0.027 -6.122
Co -2.402 -2.138 -3.135
Co -4.977 0.734 -3.477
Zr -2.213 0.532 -3.417
Zr -2.835 -3.928 -1.161
Zr -4.129 -1.282 -5.005
Zr -0.265 -3.889 -2.910
Zr -0.514 -1.584 -4.936
Zr -6.450 -3.626 -1.230
```



Record 15
The following is a PBE calculation of a relaxed MnBiTeN2 crystal, from Alexandria via LeMat-Bulk.

Properties
E_form (uncorrected) = 1.057 eV/atom
DOS at the Fermi energy = 5.07 states/eV/f.u.
M_tot = 0.00 μB/cell
relative energy among the computed polymorphs = 0.0 kJ per mole of atoms
space group = P4/mmm, No. 123

Cell and atoms, written as extended XYZ:
```
5
Lattice="4.014 0.000 0.000 0.000 4.014 0.000 0.000 0.000 5.272" Properties=species:S:1:pos:R:3 pbc="T T T"
Te 0.000 0.000 2.636
N 0.000 2.007 0.000
N 2.007 0.000 0.000
Bi 2.007 2.007 2.636
Mn 0.000 0.000 0.000
```



Record 16
The following is a PBE calculation of a relaxed BeCdIr3 crystal, from Alexandria via LeMat-Bulk.

Properties
DOS at the Fermi energy = 10.89 states/eV/f.u.
M_tot = 2.60 μB/cell
relative energy among the computed polymorphs = 223.0 kJ per mole of atoms
space group = Pm-3m, No. 221
energy of formation from the pure elements = 2628 meV/atom

Cell and atoms, written as extended XYZ:
```
5
Lattice="-1.325 -2.713 -3.779 1.439 -3.975 2.350 -4.424 -0.480 1.897" Properties=species:S:1:pos:R:3 pbc="T T T"
Be -2.155 -3.585 0.234
Ir -0.663 -1.357 -1.889
Ir -2.212 -0.240 0.948
Ir 0.720 -1.988 1.175
Cd 0.000 0.000 0.000
```



Record 17
The following is a PBE calculation of a relaxed LaGe4Rh6 crystal, from Alexandria via LeMat-Bulk.

Properties
DOS at the Fermi energy = 4.85 states/eV/f.u.
M_tot = 0.00 μB/cell
space group = P-6m2, No. 187
energy of formation from the pure elements = -762 meV/atom

Cell and atoms, written as extended XYZ:
```
11
Lattice="-0.772 0.479 7.186 3.653 -5.548 -2.888 3.306 2.064 0.218" Properties=species:S:1:pos:R:3 pbc="T T T"
Rh 1.587 -2.734 1.816
Rh 3.051 -4.958 0.658
Rh 1.768 0.302 5.274
Rh 2.076 0.111 2.412
Rh 3.223 -1.908 4.124
Rh 1.896 -2.925 -1.065
Ge 4.423 -3.314 -0.770
Ge 2.956 -1.086 0.390
Ge 4.113 -3.121 2.116
Ge 0.703 -1.530 3.828
La 0.000 0.000 0.000
```



Record 18
The following is a PBE calculation of a relaxed Ga2Ag5S5 crystal, from Alexandria via LeMat-Bulk.

Properties
E_form (uncorrected) = -0.123 eV/atom
DOS at the Fermi energy = 1.62 states/eV/f.u.
M_tot = 0.00 μB/cell
space group = C2/m, No. 12

Cell and atoms, written as extended XYZ:
```
12
Lattice="3.775 0.000 0.000 -1.887 6.175 -0.056 0.000 -3.039 10.242" Properties=species:S:1:pos:R:3 pbc="T T T"
Ga 0.000 -1.943 8.062
Ga 1.887 5.079 2.124
S 1.887 -0.411 8.133
S 1.887 2.966 6.104
S 0.000 0.000 0.000
S 0.000 0.170 4.082
S 0.000 3.547 2.053
Ag 1.887 -1.520 5.121
Ag 0.000 1.224 9.628
Ag 1.887 1.925 3.471
Ag 1.887 1.911 0.559
Ag 0.000 1.210 6.715
```



Record 19
The following is a PBE calculation of a relaxed Pr4PPb2 crystal, from Alexandria via LeMat-Bulk.

Properties
DOS at the Fermi energy = 4.39 states/eV/f.u.
M_tot = 0.00 μB/cell
relative energy among the computed polymorphs = 13.9 kJ per mole of atoms
space group = I4/mmm, No. 139
energy of formation from the pure elements = -637 meV/atom

Cell and atoms, written as extended XYZ:
```
7
Lattice="5.394 0.000 0.000 0.000 5.394 0.000 -2.697 -2.697 8.418" Properties=species:S:1:pos:R:3 pbc="T T T"
Pb 2.697 2.697 2.275
Pb 0.000 0.000 6.143
Pr 2.697 0.000 0.000
Pr 0.000 2.697 0.000
Pr 0.000 0.000 2.862
Pr 2.697 2.697 5.556
P 0.000 0.000 0.000
```



Record 20
The following is a PBE calculation of a relaxed Sr2MgBeAu6 crystal, from Alexandria via LeMat-Bulk.

Properties
DOS at the Fermi energy = 4.03 states/eV/f.u.
M_tot = 0.00 μB/cell
space group = C2/m, No. 12
energy of formation from the pure elements = -519 meV/atom

Cell and atoms, written as extended XYZ:
```
10
Lattice="-0.938 -6.053 2.423 4.247 1.590 5.628 -2.558 -0.777 6.021" Properties=species:S:1:pos:R:3 pbc="T T T"
Au -1.198 -1.763 8.093
Au 0.794 -3.824 8.666
Au -1.714 -5.112 9.435
Au 1.949 -3.478 5.978
Au -0.043 -1.417 5.405
Au 2.464 -0.129 4.636
Sr 2.158 -0.703 8.041
Sr -1.407 -4.538 6.031
Be 1.654 -2.232 4.025
Mg 0.000 0.000 0.000
```